# Pr4Nd3Y4

A geometry-optimized Pr4Nd3Y4 structure (PBE-GGA, the Alexandria database).

Polymorph energy (0 for the lowest one), meV/atom: 0
Energy, eV/atom: -5.26
Formation energy, eV per atom: 0.126

a b c (Å): 12.4023 12.4023 12.4023
angles (deg): 163.14 134.86 48.51
Last column: nearest neighbours and their distance in Å.
Atoms (fractional coordinates):
Pr 0.0323 0.8552 0.1771  3 Pr 3.37-3.64, 4 Y 3.54-3.76, 2 Nd 3.67
Pr 0.3218 0.1448 0.1771  3 Pr 3.37-3.64, 4 Y 3.54-3.76, 2 Nd 3.67
Pr 0.6782 0.8552 0.8229  3 Pr 3.37-3.64, 4 Y 3.54-3.76, 2 Nd 3.67
Pr 0.9677 0.1448 0.8229  3 Pr 3.37-3.64, 4 Y 3.54-3.76, 2 Nd 3.67
Nd 0.0000 0.5000 0.5000  4 Y 3.53, 2 Nd 3.64
Nd 0.3916 0.3916 0.0000  6 Y 3.50-3.51, 2 Nd 3.64, 4 Pr 3.67
Nd 0.6084 0.6084 0.0000  6 Y 3.50-3.51, 2 Nd 3.64, 4 Pr 3.67
Y 0.2593 0.7593 0.5000  2 Nd 3.50, 6 Pr 3.59-3.76, 2 Y 3.64
Y 0.3181 0.0000 0.3181  3 Y 3.46-3.64, 6 Nd 3.51-3.53, 2 Pr 3.54
Y 0.6819 0.0000 0.6819  3 Y 3.46-3.64, 6 Nd 3.51-3.53, 2 Pr 3.54
Y 0.7407 0.2407 0.5000  2 Nd 3.50, 6 Pr 3.59-3.76, 2 Y 3.64